No. 1
Below is a relaxed structure of MnCrBiPd2, with properties calculated at the PBE level.

a = 4.652 Å, b = 5.052 Å, c = 4.652 Å
α = 90.00°, β = 90.00°, γ = 90.00°
Last column: magnetic moment on the atom in μB.
Element x y z (fractional)
Pd (0.500, 0.000, 0.000)  0.09
Pd (0.000, 0.000, 0.500)  0.20
Cr (0.000, 0.000, 0.000)  2.58
Bi (0.000, 0.500, 0.000)  -0.04
Mn (0.500, 0.500, 0.500)  -0.01

## Properties
**Energy**: -5.26 eV per atom
**Energy of formation from the pure elements**: 1.357 eV/atom
**Calculated volume**: 21.87 Å³/atom
**Calculated density**: 8.0 g cm⁻³
**DOS(E_F)**: 9.18 states/eV/cell



No. 2
Below is a relaxed structure of CdAg2Hg, with properties calculated at the PBE level.

a = 4.817 Å, b = 4.817 Å, c = 4.817 Å
α = 60.00°, β = 60.00°, γ = 60.00°
Element x y z (fractional)
Cd (0.000, 0.000, 0.000)
Hg (0.500, 0.500, 0.500)
Ag (0.250, 0.250, 0.250)
Ag (0.750, 0.750, 0.750)

## Properties
**Energy**: -1.71 eV per atom
**Energy of formation from the pure elements**: 0.024 eV/atom
**Calculated volume**: 19.76 Å³/atom
**Calculated density**: 11.1 g cm⁻³
**DOS(E_F)**: 1.09 states/eV/cell



No. 3
Below is a relaxed structure of SrCu2SnS, with properties calculated at the PBE level.

a = 4.789 Å, b = 5.723 Å, c = 4.789 Å
α = 90.00°, β = 90.00°, γ = 90.00°
Element x y z (fractional)
Cu (0.500, 0.000, 0.000)
Cu (0.000, 0.000, 0.500)
Sn (0.000, 0.000, 0.000)
S (0.000, 0.500, 0.000)
Sr (0.500, 0.500, 0.500)

## Properties
**Energy**: -3.78 eV per atom
**E_form (uncorrected)**: -0.18 eV/atom
**Calculated volume**: 26.25 Å³/atom
**Calculated density**: 4.6 g cm⁻³
**DOS(E_F)**: 0.81 states/eV/cell



No. 4
Below is a relaxed structure of LaSmPu2Sb4, with properties calculated at the PBE level.

a = 4.497 Å, b = 7.751 Å, c = 7.786 Å
α = 70.53°, β = 90.00°, γ = 90.00°
Last column: magnetic moment on the atom in μB.
Element x y z (fractional)
Sb (0.000, 0.760, 0.742)  0.03
Sb (0.000, 0.240, 0.258)  0.03
Sb (0.500, 0.243, 0.749)  -0.02
Sb (0.500, 0.757, 0.251)  -0.02
Pu (0.000, 0.000, 0.000)  5.24
Pu (0.500, 0.000, 0.500)  -5.19
Sm (0.000, 0.500, 0.500)  -0.02
La (0.500, 0.500, 0.000)  0.03

## Properties
**Energy**: -7.73 eV per atom
**E_form (uncorrected)**: -0.88 eV/atom
**Calculated volume**: 31.99 Å³/atom
**Calculated density**: 8.2 g cm⁻³
**DOS(E_F)**: 32.72 states/eV/cell



The lowest calculated density belongs to which entry? SrCu2SnS



Among the records above, which one has the highest energy? CdAg2Hg